Entry from Alexandria: crystalline SrEr2Tl at its relaxed geometry (GGA-PBE).

Calculated values
Uncorrected energy: -3.3282 eV per atom
Magnetization: 0.00 Bohr magnetons per cell
DOS at the Fermi energy: 4.01 states/eV/f.u.
E above lowest polymorph: 0.0 meV/atom
ΔE_f: -34.7 meV/atom

a = 3.6999 Å, b = 3.6999 Å, c = 9.8239 Å
α = 90.00°, β = 90.00°, γ = 90.00°
Sites, in units of the cell vectors:
Sr (0.5000, 0.5000, 0.5000)
Tl (0.5000, 0.5000, 0.0000)
Er (0.0000, 0.0000, 0.8025)
Er (0.0000, 0.0000, 0.1975)